(1)
Ce2Al4GePd3 | PBE-GGA | relaxed

Cell lengths 4.318, 4.318, 10.365 Å; angles 90.00, 90.00, 90.00 degrees
Atoms (fractional coordinates):
Ce 0.500 0.000 0.250
Ce 0.000 0.500 0.750
Al 0.500 0.500 0.000
Al 0.000 0.000 0.000
Al 0.500 0.000 0.636
Al 0.000 0.500 0.364
Ge 0.500 0.500 0.500
Pd 0.000 0.000 0.500
Pd 0.500 0.000 0.871
Pd 0.000 0.500 0.129

## Properties
Its crystal system is tetragonal. The value obtained for the volume is 19.3 A^3/atom. Its space group is No. 115. The total energy is -54.36 eV for the cell shown. The formation energy comes out at -732 meV/atom.

(2)
CeAlGePd | PBE-GGA | relaxed

Cell lengths 4.256, 4.256, 5.751 Å; angles 68.28, 68.28, 60.00 degrees
Atoms (fractional coordinates):
Ce 0.804 0.804 0.588
Al 0.593 0.593 0.221
Ge 0.024 0.024 0.928
Pd 0.305 0.305 0.086

## Properties
Its crystal system is trigonal. The value obtained for the volume is 20.4 A^3/atom. Its space group is No. 160. The total energy is -22.31 eV for the cell shown. The formation energy comes out at -707 meV/atom.

(3)
Ce2AlGe3Pd4 | PBE-GGA | relaxed

Cell lengths 4.306, 4.306, 10.283 Å; angles 90.00, 90.00, 90.00 degrees
Atoms (fractional coordinates):
Ce 0.500 0.000 0.248
Ce 0.000 0.500 0.752
Al 0.500 0.500 0.500
Ge 0.000 0.000 0.500
Ge 0.500 0.000 0.868
Ge 0.000 0.500 0.132
Pd 0.500 0.500 0.000
Pd 0.000 0.000 0.000
Pd 0.500 0.000 0.628
Pd 0.000 0.500 0.372

## Properties
Its crystal system is tetragonal. The value obtained for the volume is 19.1 A^3/atom. Its space group is No. 115. The total energy is -58.34 eV for the cell shown. The formation energy comes out at -811 meV/atom.

(4)
Ce2AlGe4Pd3 | PBE-GGA | relaxed

Cell lengths 4.231, 4.231, 10.765 Å; angles 90.00, 90.00, 90.00 degrees
Atoms (fractional coordinates):
Ce 0.500 0.000 0.245
Ce 0.000 0.500 0.755
Al 0.500 0.500 0.500
Ge 0.500 0.500 0.000
Ge 0.000 0.000 0.000
Ge 0.500 0.000 0.641
Ge 0.000 0.500 0.359
Pd 0.000 0.000 0.500
Pd 0.500 0.000 0.869
Pd 0.000 0.500 0.131

## Properties
Its crystal system is tetragonal. The value obtained for the volume is 19.3 A^3/atom. Its space group is No. 115. The total energy is -57.01 eV for the cell shown. The formation energy comes out at -735 meV/atom.

(5)
CePmAlGe | PBE-GGA | relaxed

Cell lengths 4.453, 4.090, 6.068 Å; angles 90.00, 111.53, 90.00 degrees
Atoms (fractional coordinates):
Ce 0.142 0.000 0.283
Pm 0.855 0.500 0.710
Al 0.429 0.000 0.858
Ge 0.574 0.500 0.148

## Properties
Its crystal system is orthorhombic. The value obtained for the volume is 25.7 A^3/atom. Its space group is No. 38. The total energy is -21.40 eV for the cell shown. The formation energy comes out at -589 meV/atom. The value obtained for the energy above the most stable polymorph in this dataset is 0.0 kJ per mole of atoms.

(6)
CePmAlGe | PBE-GGA | relaxed

Cell lengths 5.198, 5.198, 5.198 Å; angles 60.00, 60.00, 60.00 degrees
Atoms (fractional coordinates):
Ge 0.250 0.250 0.250
Al 0.750 0.750 0.750
Ce 0.500 0.500 0.500
Pm 0.000 0.000 0.000

## Properties
Its crystal system is cubic. The value obtained for the volume is 24.8 A^3/atom. Its space group is No. 216. The total energy is -20.69 eV for the cell shown. The formation energy comes out at -411 meV/atom. The value obtained for the energy above the most stable polymorph in this dataset is 17.1 kJ per mole of atoms.

(7)
Ce2PmAlGe2 | PBE-GGA | relaxed

Cell lengths 5.864, 5.864, 6.691 Å; angles 115.99, 115.99, 90.00 degrees
Atoms (fractional coordinates):
Ce 0.250 0.750 0.500
Ce 0.750 0.250 0.500
Pm 0.500 0.500 0.000
Al 0.000 0.000 0.000
Ge 0.766 0.766 0.531
Ge 0.234 0.234 0.469

## Properties
Its crystal system is tetragonal. The value obtained for the volume is 30.1 A^3/atom. Its space group is No. 139. The total energy is -30.65 eV for the cell shown. The formation energy comes out at -176 meV/atom.

(8)
Ce2AlGe4Pt3 | PBE-GGA | relaxed

Cell lengths 4.250, 4.250, 10.681 Å; angles 90.00, 90.00, 90.00 degrees
Atoms (fractional coordinates):
Ce 0.500 0.000 0.246
Ce 0.000 0.500 0.754
Al 0.500 0.500 0.500
Ge 0.500 0.500 0.000
Ge 0.000 0.000 0.000
Ge 0.500 0.000 0.641
Ge 0.000 0.500 0.359
Pt 0.000 0.000 0.500
Pt 0.500 0.000 0.871
Pt 0.000 0.500 0.129

## Properties
Its crystal system is tetragonal. The value obtained for the volume is 19.3 A^3/atom. Its space group is No. 115. The total energy is -60.63 eV for the cell shown. The formation energy comes out at -843 meV/atom.

(9)
Ce3AlGe6Pt2 | PBE-GGA | relaxed

Cell lengths 5.955, 5.955, 8.116 Å; angles 90.00, 90.00, 120.00 degrees
Atoms (fractional coordinates):
Ce 0.333 0.667 0.641
Ce 0.667 0.333 0.359
Ce 0.000 0.000 0.000
Al 0.000 0.000 0.500
Ge 0.625 0.812 0.284
Ge 0.188 0.375 0.284
Ge 0.188 0.812 0.284
Ge 0.812 0.625 0.716
Ge 0.375 0.188 0.716
Ge 0.812 0.188 0.716
Pt 0.667 0.333 0.983
Pt 0.333 0.667 0.017

## Properties
Its crystal system is trigonal. The value obtained for the volume is 20.8 A^3/atom. Its space group is No. 164. The total energy is -66.28 eV for the cell shown. The formation energy comes out at -413 meV/atom.

(10)
Ce2Al4GePt3 | PBE-GGA | relaxed

Cell lengths 4.299, 4.299, 10.395 Å; angles 90.00, 90.00, 90.00 degrees
Atoms (fractional coordinates):
Ce 0.500 0.000 0.249
Ce 0.000 0.500 0.751
Al 0.500 0.500 0.000
Al 0.000 0.000 0.000
Al 0.500 0.000 0.635
Al 0.000 0.500 0.365
Ge 0.500 0.500 0.500
Pt 0.000 0.000 0.500
Pt 0.500 0.000 0.869
Pt 0.000 0.500 0.131

## Properties
Its crystal system is tetragonal. The value obtained for the volume is 19.2 A^3/atom. Its space group is No. 115. The total energy is -59.07 eV for the cell shown. The formation energy comes out at -949 meV/atom.

(11)
Ce2PuAl2Ge2 | PBE-GGA | relaxed

Cell lengths 4.435, 4.435, 9.156 Å; angles 75.98, 75.98, 60.00 degrees
Atoms (fractional coordinates):
Ce 0.137 0.137 0.588
Ce 0.863 0.863 0.412
Pu 0.000 0.000 0.000
Al 0.596 0.596 0.211
Al 0.404 0.404 0.789
Ge 0.732 0.732 0.803
Ge 0.268 0.268 0.197

## Properties
Its crystal system is trigonal. The value obtained for the volume is 21.4 A^3/atom. Its space group is No. 166. The total energy is -45.15 eV for the cell shown. The formation energy comes out at -318 meV/atom.

(12)
CePu2AlGe2 | PBE-GGA | relaxed

Cell lengths 5.765, 5.765, 6.648 Å; angles 115.69, 115.69, 90.00 degrees
Atoms (fractional coordinates):
Ce 0.500 0.500 0.000
Pu 0.250 0.750 0.500
Pu 0.750 0.250 0.500
Al 0.000 0.000 0.000
Ge 0.770 0.770 0.541
Ge 0.230 0.230 0.459

## Properties
Its crystal system is tetragonal. The value obtained for the volume is 29.1 A^3/atom. Its space group is No. 139. The total energy is -47.17 eV for the cell shown. The formation energy comes out at 68 meV/atom.